# 1
Here is crystalline LaGe3C at its relaxed geometry from Alexandria via LeMat-Bulk. Energies are from GGA-PBE. Values from VASP.

The structure in Quantum ESPRESSO input format:
```
&SYSTEM
  ibrav = 0, nat = 5, ntyp = 3
/
ATOMIC_SPECIES
C 12.01 C.upf
La 138.91 La.upf
Ge 72.64 Ge.upf
CELL_PARAMETERS angstrom
-1.603 5.369 -1.183
-3.414 -1.938 -4.169
-4.309 -0.462 3.743
ATOMIC_POSITIONS crystal
C 0.500 0.500 0.500
La 0.000 0.000 0.000
Ge 0.500 0.000 0.000
Ge 0.000 0.500 0.000
Ge 0.000 0.000 0.500
```

## Properties
Space group: Pm-3m (221)
Offset from the most stable computed form in eV per formula unit: 8.93

---

# 2
Here is crystalline Ti2CBr at its relaxed geometry from Alexandria via LeMat-Bulk. Energies are from GGA-PBE. Values from VASP.

The structure in Quantum ESPRESSO input format:
```
&SYSTEM
  ibrav = 0, nat = 4, ntyp = 3
/
ATOMIC_SPECIES
Ti 47.87 Ti.upf
Br 79.90 Br.upf
C 12.01 C.upf
CELL_PARAMETERS angstrom
1.031 1.910 3.634
-2.544 2.964 1.629
-2.211 -0.809 3.517
ATOMIC_POSITIONS crystal
Ti 0.750 0.750 0.750
Ti 0.250 0.250 0.250
Br 0.500 0.500 0.500
C 0.000 0.000 0.000
```

## Properties
Space group: Fm-3m (225)
DFT total energy in eV per atom: -6.325

---

# 3
Here is crystalline NaLiEuAg at its relaxed geometry from Alexandria via LeMat-Bulk. Energies are from GGA-PBE. Values from VASP.

The structure in Quantum ESPRESSO input format:
```
&SYSTEM
  ibrav = 0, nat = 4, ntyp = 4
/
ATOMIC_SPECIES
Na 22.99 Na.upf
Li 6.94 Li.upf
Eu 151.96 Eu.upf
Ag 107.87 Ag.upf
CELL_PARAMETERS angstrom
5.364 0.000 0.000
2.682 4.645 0.000
2.682 1.548 4.379
ATOMIC_POSITIONS crystal
Na 0.000 0.000 0.000
Li 0.750 0.750 0.750
Eu 0.500 0.500 0.500
Ag 0.250 0.250 0.250
```

## Properties
Space group: F-43m (216)
DFT total energy in eV per atom: -4.101

---

# 4
Here is crystalline TlAg2I4 at its relaxed geometry from Alexandria via LeMat-Bulk. Energies are from GGA-PBE. Values from VASP.

The structure in Quantum ESPRESSO input format:
```
&SYSTEM
  ibrav = 0, nat = 7, ntyp = 3
/
ATOMIC_SPECIES
Tl 204.38 Tl.upf
Ag 107.87 Ag.upf
I 126.90 I.upf
CELL_PARAMETERS angstrom
-3.092 3.040 -4.901
-4.580 -4.674 -0.010
-3.727 3.642 4.611
ATOMIC_POSITIONS crystal
Tl 0.000 0.000 0.000
Ag 0.000 0.500 0.500
I 0.725 0.275 0.739
I 0.275 0.725 0.739
Ag 0.500 0.000 0.500
I 0.275 0.275 0.261
I 0.725 0.725 0.261
```

## Properties
Space group: P-42m (111)
DFT total energy in eV per atom: -2.319

---

# 5
Here is crystalline La2PuCo3H12 at its relaxed geometry from Alexandria via LeMat-Bulk. Energies are from GGA-PBE. Values from VASP.

The structure in Quantum ESPRESSO input format:
```
&SYSTEM
  ibrav = 0, nat = 18, ntyp = 4
/
ATOMIC_SPECIES
H 1.01 H.upf
Co 58.93 Co.upf
La 138.91 La.upf
Pu 244.00 Pu.upf
CELL_PARAMETERS angstrom
6.144 0.021 0.015
3.053 5.332 0.015
3.053 1.777 5.028
ATOMIC_POSITIONS crystal
H 0.727 0.123 0.727
H 0.727 0.727 0.123
Co 0.500 0.000 0.000
La 0.389 0.389 0.389
Pu 0.000 0.000 0.000
H 0.869 0.869 0.441
Co 0.000 0.500 0.000
H 0.131 0.559 0.131
H 0.441 0.869 0.869
H 0.273 0.273 0.877
La 0.611 0.611 0.611
Co 0.000 0.000 0.500
H 0.869 0.441 0.869
H 0.273 0.877 0.273
H 0.877 0.273 0.273
H 0.559 0.131 0.131
H 0.123 0.727 0.727
H 0.131 0.131 0.559
```

## Properties
Space group: R-3m (166)
DFT total energy in eV per atom: -5.037

---

# 6
Here is crystalline Ho2TmN at its relaxed geometry from Alexandria via LeMat-Bulk. Energies are from GGA-PBE. Values from VASP.

The structure in Quantum ESPRESSO input format:
```
&SYSTEM
  ibrav = 0, nat = 4, ntyp = 3
/
ATOMIC_SPECIES
Ho 164.93 Ho.upf
N 14.01 N.upf
Tm 168.93 Tm.upf
CELL_PARAMETERS angstrom
-1.002 -2.453 -1.722
1.176 -1.992 2.154
-7.507 0.115 4.205
ATOMIC_POSITIONS crystal
Ho 0.000 0.000 0.837
Ho 0.000 0.000 0.163
N 0.500 0.500 0.000
Tm 0.500 0.500 0.500
```

## Properties
Space group: P4/mmm (123)
Offset from the most stable computed form in eV per formula unit: 2.26

---

# 7
Here is crystalline TlPdF3 at its relaxed geometry from Alexandria via LeMat-Bulk. Energies are from GGA-PBE. Values from VASP.

The structure in Quantum ESPRESSO input format:
```
&SYSTEM
  ibrav = 0, nat = 10, ntyp = 3
/
ATOMIC_SPECIES
F 19.00 F.upf
Pd 106.42 Pd.upf
Tl 204.38 Tl.upf
CELL_PARAMETERS angstrom
-1.099 3.030 -2.344
-2.327 -3.220 0.316
-6.753 5.946 10.847
ATOMIC_POSITIONS crystal
F 0.000 0.000 0.750
F 0.333 0.667 0.891
F 0.333 0.667 0.609
Pd 0.333 0.667 0.750
F 0.667 0.333 0.391
F 0.667 0.333 0.109
Pd 0.667 0.333 0.250
Tl 0.000 0.000 0.000
Tl 0.000 0.000 0.500
F 0.000 0.000 0.250
```

## Properties
Space group: P6_3/mmc (194)
Offset from the most stable computed form in eV per formula unit: 0.52

---

# 8
Here is crystalline Nd2TmPb3 at its relaxed geometry from Alexandria via LeMat-Bulk. Energies are from GGA-PBE. Values from VASP.

The structure in Quantum ESPRESSO input format:
```
&SYSTEM
  ibrav = 0, nat = 6, ntyp = 3
/
ATOMIC_SPECIES
Nd 144.24 Nd.upf
Tm 168.93 Tm.upf
Pb 207.20 Pb.upf
CELL_PARAMETERS angstrom
5.264 0.000 0.000
0.000 6.424 0.000
-2.632 -3.212 5.677
ATOMIC_POSITIONS crystal
Nd 0.673 0.173 0.346
Tm 0.000 0.500 0.000
Pb 0.347 0.347 0.694
Pb 0.653 0.653 0.306
Nd 0.327 0.827 0.654
Pb 0.000 0.000 0.000
```

## Properties
Space group: Immm (71)
Offset from the most stable computed form in eV per formula unit: 0.38

---

# 9
Here is crystalline Rb2CdGaF6 at its relaxed geometry from Alexandria via LeMat-Bulk. Energies are from GGA-PBE. Values from VASP.

The structure in Quantum ESPRESSO input format:
```
&SYSTEM
  ibrav = 0, nat = 10, ntyp = 4
/
ATOMIC_SPECIES
F 19.00 F.upf
Rb 85.47 Rb.upf
Ga 69.72 Ga.upf
Cd 112.41 Cd.upf
CELL_PARAMETERS angstrom
-3.876 -1.711 4.639
-3.899 -2.567 -4.204
-1.734 -6.015 0.587
ATOMIC_POSITIONS crystal
F 0.280 0.280 0.439
F 0.280 0.280 0.000
Rb 0.750 0.250 0.500
F 0.720 0.720 0.000
F 0.280 0.720 0.000
Ga 0.500 0.500 0.000
Rb 0.250 0.750 0.500
F 0.720 0.720 0.561
Cd 0.000 0.000 0.000
F 0.720 0.280 0.000
```

## Properties
Space group: Fm-3m (225)
DFT total energy in eV per atom: -4.172

---

# 10
Here is crystalline Pr2SmPb at its relaxed geometry from Alexandria via LeMat-Bulk. Energies are from GGA-PBE. Values from VASP.

The structure in Quantum ESPRESSO input format:
```
&SYSTEM
  ibrav = 0, nat = 4, ntyp = 3
/
ATOMIC_SPECIES
Pr 140.91 Pr.upf
Sm 150.36 Sm.upf
Pb 207.20 Pb.upf
CELL_PARAMETERS angstrom
3.699 0.000 0.000
1.850 3.204 0.000
1.850 1.068 11.423
ATOMIC_POSITIONS crystal
Pr 0.253 0.253 0.240
Sm 0.500 0.500 0.500
Pb 0.666 0.666 0.001
Pr 0.080 0.080 0.760
```

## Properties
Space group: R3m (160)
Offset from the most stable computed form in eV per formula unit: 0.75

---

# 11
Here is crystalline Dy2BiI3 at its relaxed geometry from Alexandria via LeMat-Bulk. Energies are from GGA-PBE. Values from VASP.

The structure in Quantum ESPRESSO input format:
```
&SYSTEM
  ibrav = 0, nat = 12, ntyp = 3
/
ATOMIC_SPECIES
Dy 162.50 Dy.upf
I 126.90 I.upf
Bi 208.98 Bi.upf
CELL_PARAMETERS angstrom
-2.157 -3.925 -0.668
0.833 -1.427 -9.648
8.834 -7.496 0.163
ATOMIC_POSITIONS crystal
Dy 0.134 0.563 0.168
I 0.238 0.127 0.396
Dy 0.866 0.437 0.832
Bi 0.595 0.472 0.338
I 0.945 0.859 0.251
I 0.337 0.307 0.019
I 0.055 0.141 0.749
Bi 0.405 0.528 0.662
Dy 0.605 0.236 0.554
Dy 0.395 0.764 0.446
I 0.762 0.873 0.604
I 0.663 0.693 0.981
```

## Properties
Space group: C2/m (12)
DFT total energy in eV per atom: -4.019

---

no.,theoretical density (kg/m3),volume (Å³ per atom)
1,3262,37.55
2,5813,13.40
3,4410,27.28
4,5170,42.56
5,7193,9.12
6,9907,21.49
7,6301,19.38
8,9333,32.00
9,4417,17.56
10,7842,33.85
11,6234,40.61